The following is a DFT calculation (GGA-PBE) of a relaxed Sm6ErSc6 crystal.

```
13
Lattice="-1.128 4.794 -4.185 2.899 -5.419 -1.999 -9.755 -4.350 -2.353" Properties=species:S:1:pos:R:3 pbc="T T T"
Sc -2.940 1.338 -2.666
Er 0.000 0.000 0.000
Sm -3.321 -4.190 -3.905
Sc -5.929 -6.000 -2.780
Sc -0.927 -3.769 -1.573
Sm 1.557 -2.015 -2.728
Sc -6.493 -3.603 -4.872
Sm -4.663 -0.785 -4.633
Sm -3.263 -1.455 -0.787
Sc -7.943 -0.893 -3.873
Sc -1.491 -1.372 -3.665
Sm 0.214 1.390 -3.456
Sm -6.491 -2.895 -1.566
```

The following is a DFT calculation (GGA-PBE) of a relaxed Sm6Er5Sc crystal.

```
12
Lattice="-2.001 -1.467 4.383 -9.027 -0.146 -4.172 6.534 -6.419 -2.060" Properties=species:S:1:pos:R:3 pbc="T T T"
Sm -1.901 -2.431 -1.682
Sm 3.310 -7.188 -0.895
Sm 1.956 -5.528 1.937
Sc 0.000 0.000 0.000
Er -0.663 -3.125 1.545
Er -5.175 -3.206 -0.543
Sm -2.593 -5.602 -0.166
Er -3.831 -4.907 -3.393
Sm -7.804 -0.844 -0.953
Er 0.681 -4.826 -1.305
Sm -6.450 -2.505 -3.784
Er -4.513 -0.073 -2.086
```

The following is a DFT calculation (GGA-PBE) of a relaxed Sm3ErSc7 crystal.

```
11
Lattice="5.482 -0.204 -0.262 -2.411 7.540 1.140 -2.411 -0.722 7.591" Properties=species:S:1:pos:R:3 pbc="T T T"
Sc 0.524 5.239 6.709
Sc 0.135 1.375 1.761
Sm -2.411 5.762 2.528
Er 0.330 3.307 4.235
Sm 2.741 -0.102 -0.131
Sm -2.411 1.056 6.203
Sc 2.885 2.914 0.481
Sc 2.885 -0.240 2.944
Sc -2.225 3.699 7.989
Sc -2.411 3.409 4.366
Sc -2.225 6.853 5.526
```

8
Lattice="-2.700 0.239 -2.154 7.096 2.906 -8.572 -1.523 -7.692 3.839" Properties=species:S:1:pos:R:3 comment="Sm3Er4Sc (GGA-PBE, optimized geometry)" relative_energy_mev_per_atom=110.2 pbc="T T T"
Sc -1.350 0.119 -1.077
Er 2.322 -3.732 -3.324
Sm 2.549 -1.611 -6.156
Er -1.336 -5.229 1.095
Er 0.551 -0.815 -3.563
Er 4.209 0.682 -7.982
Sm 3.548 1.453 -4.286
Sm 0.324 -2.936 -0.731

| no. | energy (eV/cell) |
| --- | --- |
| 1 | -67.90 |
| 2 | -57.14 |
| 3 | -59.69 |
| 4 | -37.67 |